## w
The following is a DFT calculation (PBE) of a relaxed LiCd6Cu crystal.

The value obtained for the density of states at the Fermi level is 1.70 states/eV/cell.

Cell: 4.6902 4.6902 7.8225 Å, 72.80 72.80 90.20°
Positions (direct):
Cd (0.8910, 0.3904, 0.2190)
Cd (0.1090, 0.6096, 0.7810)
Cd (0.6096, 0.1090, 0.7810)
Cd (0.7521, 0.7520, 0.4957)
Cd (0.3904, 0.8910, 0.2190)
Cd (0.2479, 0.2480, 0.5043)
Li (0.0000, 0.0000, 0.0000)
Cu (0.5000, 0.5000, 0.0000)



## x
The following is a DFT calculation (PBE) of a relaxed LiCd6Cu crystal.

The value obtained for the density of states at the Fermi level is 1.88 states/eV/cell.

Cell: 7.1730 7.5523 5.5109 Å, 44.64 52.65 62.89°
Positions (direct):
Cd (0.2484, 0.0160, 0.2309)
Cd (0.5702, 0.2433, 0.1458)
Cd (0.0475, 0.4560, 0.2550)
Cd (0.4298, 0.7567, 0.8542)
Cd (0.9525, 0.5440, 0.7450)
Cd (0.7516, 0.9840, 0.7691)
Li (0.5000, 0.5000, 0.5000)
Cu (0.0000, 0.0000, 0.0000)



Least stable structure: x



## w
The following is a DFT calculation (PBE) of a relaxed LiCd4Cu crystal.

The value obtained for the density of states at the Fermi level is 2.71 states/eV/cell.

Cell: 5.1663 7.1711 7.8687 Å, 117.11 108.91 90.00°
Positions (direct):
Cu (0.2654, 0.4997, 0.9995)
Cu (0.7346, 0.5003, 0.0005)
Cd (0.1868, 0.6845, 0.3690)
Cd (0.3711, 0.1036, 0.7415)
Cd (0.6289, 0.3621, 0.2585)
Cd (0.0000, 0.8114, 0.0000)
Cd (0.6289, 0.8964, 0.2585)
Cd (0.0000, 0.1886, 0.0000)
Cd (0.3711, 0.6379, 0.7415)
Cd (0.8132, 0.3155, 0.6310)
Li (0.1943, 0.1963, 0.3927)
Li (0.8057, 0.8037, 0.6073)



## x
The following is a DFT calculation (PBE) of a relaxed LiCd4Cu crystal.

The value obtained for the density of states at the Fermi level is 2.21 states/eV/cell.

Cell: 5.6688 5.6688 5.6688 Å, 60.00 60.00 60.00°
Positions (direct):
Cd (0.3751, 0.3751, 0.3751)
Cd (0.3751, 0.3751, 0.8746)
Cd (0.3751, 0.8746, 0.3751)
Cd (0.8746, 0.3751, 0.3751)
Li (0.0000, 0.0000, 0.0000)
Cu (0.7500, 0.7500, 0.7500)



## y
The following is a DFT calculation (PBE) of a relaxed LiCd4Cu crystal.

The value obtained for the density of states at the Fermi level is 2.82 states/eV/cell.

Cell: 4.4258 4.4265 6.6870 Å, 90.02 89.99 89.99°
Positions (direct):
Cd (0.5015, 0.9977, 0.2398)
Cd (0.0011, 0.4969, 0.2399)
Cd (0.5016, 0.9976, 0.7564)
Cd (0.0012, 0.4968, 0.7564)
Li (0.0016, 0.9966, 0.4982)
Cu (0.5009, 0.4981, 0.9982)



Least stable structure: x



## w
The following is a DFT calculation (PBE) of a relaxed Li2Cd8Cu crystal.

The value obtained for the density of states at the Fermi level is 3.11 states/eV/cell.

Cell: 4.4532 4.4532 11.5207 Å, 90.00 90.00 90.00°
Positions (direct):
Cd (0.5000, 0.5000, 0.6842)
Cd (0.0000, 0.5000, 0.5000)
Cd (0.5000, 0.0000, 0.5000)
Cd (0.0000, 0.5000, 0.1335)
Cd (0.5000, 0.0000, 0.1335)
Cd (0.5000, 0.5000, 0.3158)
Cd (0.5000, 0.0000, 0.8665)
Cd (0.0000, 0.5000, 0.8665)
Cu (0.0000, 0.0000, 0.0000)
Li (0.0000, 0.0000, 0.6866)
Li (0.0000, 0.0000, 0.3134)



## x
The following is a DFT calculation (PBE) of a relaxed Li2Cd8Cu crystal.

The value obtained for the density of states at the Fermi level is 3.65 states/eV/cell.

Cell: 4.7415 6.9432 7.9149 Å, 116.00 107.43 90.00°
Positions (direct):
Cd (0.3609, 0.5784, 0.7218)
Cd (0.9999, 0.2888, 0.9998)
Cd (0.8341, 0.8339, 0.6682)
Cd (0.1659, 0.1661, 0.3318)
Cd (0.3607, 0.1428, 0.7213)
Cd (0.6393, 0.8572, 0.2787)
Cd (0.6391, 0.4216, 0.2782)
Cd (0.0001, 0.7112, 0.0002)
Li (0.8068, 0.3070, 0.6137)
Li (0.1932, 0.6930, 0.3863)
Cu (0.5000, 0.0000, 0.0000)



Least stable structure: x



## w
The following is a DFT calculation (PBE) of a relaxed Li7Cd2Cu crystal.

The value obtained for the density of states at the Fermi level is 5.89 states/eV/cell.

Cell: 6.6578 6.6578 6.6578 Å, 60.00 60.00 60.00°
Positions (direct):
Li (0.2448, 0.7552, 0.7552)
Li (0.5000, 0.5000, 0.5000)
Li (0.7552, 0.2448, 0.2448)
Li (0.2448, 0.7552, 0.2448)
Li (0.7552, 0.2448, 0.7552)
Li (0.7552, 0.7552, 0.2448)
Li (0.2448, 0.2448, 0.7552)
Cd (0.7500, 0.7500, 0.7500)
Cd (0.2500, 0.2500, 0.2500)
Cu (0.0000, 0.0000, 0.0000)



## x
The following is a DFT calculation (PBE) of a relaxed Li7Cd2Cu crystal.

The value obtained for the density of states at the Fermi level is 2.89 states/eV/cell.

Cell: 4.5273 4.5273 10.0126 Å, 90.00 90.00 120.00°
Positions (direct):
Cu (0.0000, 0.0000, 0.0641)
Li (0.0000, 0.0000, 0.7684)
Li (0.3333, 0.6667, 0.1445)
Li (0.3333, 0.6667, 0.3901)
Li (0.0000, 0.0000, 0.3519)
Li (0.6667, 0.3333, 0.9325)
Li (0.3333, 0.6667, 0.9160)
Li (0.6667, 0.3333, 0.5405)
Cd (0.3333, 0.6667, 0.6539)
Cd (0.6667, 0.3333, 0.2214)



Least stable structure: w



## w
The following is a DFT calculation (PBE) of a relaxed LiCdCuPt crystal.

The value obtained for the density of states at the Fermi level is 0.90 states/eV/cell.

Cell: 4.3842 4.3842 4.3842 Å, 60.00 60.00 60.00°
Positions (direct):
Cd (0.7500, 0.7500, 0.7500)
Li (0.0000, 0.0000, 0.0000)
Cu (0.5000, 0.5000, 0.5000)
Pt (0.2500, 0.2500, 0.2500)



## x
The following is a DFT calculation (PBE) of a relaxed LiCdCuPt crystal.

The value obtained for the density of states at the Fermi level is 1.25 states/eV/cell.

Cell: 4.0042 3.9691 4.7809 Å, 114.53 114.76 90.00°
Positions (direct):
Cu (0.0013, 0.0011, 0.0025)
Pt (0.7504, 0.2505, 0.5007)
Cd (0.4992, 0.4992, 0.9983)
Li (0.2492, 0.7492, 0.4985)



Least stable structure: w



## w
The following is a DFT calculation (PBE) of a relaxed Sr2LiCdCu crystal.

The value obtained for the density of states at the Fermi level is 2.62 states/eV/cell.

Cell: 5.9201 5.9201 5.0250 Å, 90.00 90.00 90.00°
Positions (direct):
Cu (0.0000, 0.0000, 0.0000)
Sr (0.5000, 0.0000, 0.0000)
Sr (0.0000, 0.5000, 0.0000)
Li (0.5000, 0.5000, 0.5000)
Cd (0.0000, 0.0000, 0.5000)



## x
The following is a DFT calculation (PBE) of a relaxed Sr2LiCdCu crystal.

The value obtained for the density of states at the Fermi level is 2.31 states/eV/cell.

Cell: 5.9130 5.9130 4.7480 Å, 90.00 90.00 90.00°
Positions (direct):
Cd (0.5000, 0.5000, 0.5000)
Sr (0.0000, 0.5000, 0.0000)
Sr (0.5000, 0.0000, 0.0000)
Li (0.0000, 0.0000, 0.5000)
Cu (0.0000, 0.0000, 0.0000)



Least stable structure: w